Record 1
Below is crystalline PrTl2Hg6 at its relaxed geometry, with properties calculated at the PBE level.

Properties
- Crystal system: hexagonal
- Magnetic moment: 0.012 μB/atom
- SG: P6/mmm (191)
- Uncorrected energy: -1.40 eV per atom
- E_form: -1.26 eV per formula unit
- Fermi-level density of states: 3.3 states/eV per cell

Cell: 9.0613 9.0613 3.4201 Å, 90.00 90.00 120.00°
With the nearest neighbours (Å) after each atom.
Positions (direct):
Pr: 0.0000 0.0000 0.0000  2 Pr 3.42, 12 Hg 3.48
Tl: 0.3333 0.6667 0.0000  2 Tl 3.42, 12 Hg 3.47
Tl: 0.6667 0.3333 0.0000  2 Tl 3.42, 12 Hg 3.47
Hg: 0.0000 0.3346 0.5000  3 Hg 3.00-3.03
Hg: 0.0000 0.6654 0.5000  3 Hg 3.00-3.03
Hg: 0.3346 0.0000 0.5000  3 Hg 3.00-3.03
Hg: 0.3346 0.3346 0.5000  3 Hg 3.00-3.03
Hg: 0.6654 0.0000 0.5000  3 Hg 3.00-3.03
Hg: 0.6654 0.6654 0.5000  3 Hg 3.00-3.03



Record 2
Below is crystalline CdB4Ir4 at its relaxed geometry, with properties calculated at the PBE level.

Properties
- Crystal system: tetragonal
- Magnetic moment: 0.000 μB/atom
- SG: P4_2/n (86)
- Uncorrected energy: -7.17 eV per atom
- E_form: -1.42 eV per formula unit
- Fermi-level density of states: 10.7 states/eV per cell

Cell: 7.5934 7.5934 4.0827 Å, 90.00 90.00 90.00°
With the nearest neighbours (Å) after each atom.
Positions (direct):
Cd: 0.2500 0.2500 0.2500  4 B 2.59, 4 Ir 2.81
Cd: 0.7500 0.7500 0.7500  4 B 2.59, 4 Ir 2.81
B: 0.0433 0.5863 0.6369  1 B 1.84
B: 0.0863 0.9567 0.1369  1 B 1.84
B: 0.4137 0.5433 0.1369  1 B 1.84
B: 0.4567 0.9137 0.6369  1 B 1.84
B: 0.5433 0.0863 0.3631  1 B 1.84
B: 0.5863 0.4567 0.8631  1 B 1.84
B: 0.9137 0.0433 0.8631  1 B 1.84
B: 0.9567 0.4137 0.3631  1 B 1.84
Ir: 0.0968 0.8631 0.6371  4 B 2.14-2.16
Ir: 0.1369 0.5968 0.1371  4 B 2.14-2.16
Ir: 0.3631 0.9032 0.1371  4 B 2.14-2.16
Ir: 0.4032 0.6369 0.6371  4 B 2.14-2.16
Ir: 0.5968 0.3631 0.3629  4 B 2.14-2.16
Ir: 0.6369 0.0968 0.8629  4 B 2.14-2.16
Ir: 0.8631 0.4032 0.8629  4 B 2.14-2.16
Ir: 0.9032 0.1369 0.3629  4 B 2.14-2.16



Record 3
Below is crystalline LiAsIr2 at its relaxed geometry, with properties calculated at the PBE level.

Properties
- Crystal system: monoclinic
- Magnetic moment: 0.000 μB/atom
- SG: Pm (6)
- Uncorrected energy: -6.22 eV per atom
- E_form: -0.59 eV per formula unit
- Fermi-level density of states: 2.4 states/eV per cell

Cell: 2.8069 4.1375 5.1672 Å, 90.00 105.54 90.00°
With the nearest neighbours (Å) after each atom.
Positions (direct):
Li: 0.0000 0.0000 0.0000  7 Ir 2.56-2.85, 4 As 2.71, 2 Li 2.81
As: 0.6025 0.5000 0.2107  3 Ir 2.41-2.48
Ir: 0.3596 0.5000 0.7269  1 As 2.41
Ir: 0.7410 0.0000 0.4855  2 As 2.48, 1 Li 2.56, 4 Ir 2.77